A relaxed Tc4MoCl crystal, computed with PBE.

a b c (Å): 5.163 5.163 5.163
angles (deg): 60.00 60.00 60.00
Atoms (fractional coordinates):
Tc  0.875  0.375  0.375
Cl  0.750  0.750  0.750
Mo  0.000  0.000  0.000
Tc  0.375  0.375  0.375
Tc  0.375  0.375  0.875
Tc  0.375  0.875  0.375

For the uncorrected formation energy, the calculation gives 0.911 eV/atom.